Material: ZrSnS3
Method: DFT, PBE
State: relaxed

CIF file:
```
data_ZrSnS3
_symmetry_space_group_name_H-M 'P 1'
_symmetry_Int_Tables_number 1
_symmetry_space_group_name_Hall 'P 1'
_cell_length_a 4.9895
_cell_length_b 4.9895
_cell_length_c 4.9895
_cell_angle_alpha 90.00
_cell_angle_beta 90.00
_cell_angle_gamma 90.00
loop_
_atom_site_label
_atom_site_fract_x
_atom_site_fract_y
_atom_site_fract_z
Zr1 0.0000 0.0000 0.0000
Sn1 0.5000 0.5000 0.5000
S1 0.0000 0.5000 0.0000
S2 0.5000 0.0000 0.0000
S3 0.0000 0.0000 0.5000
```

Its symmetry is Pm-3m. Its density is 4.09 g/cm³. As for the uncorrected formation energy: -72.0 kJ/mol of atoms.

***

Material: RbTiGe2
Method: DFT, PBE
State: relaxed

CIF file:
```
data_RbTiGe2
_symmetry_space_group_name_H-M 'P 1'
_symmetry_Int_Tables_number 1
_symmetry_space_group_name_Hall 'P 1'
_cell_length_a 5.8139
_cell_length_b 5.8139
_cell_length_c 9.1822
_cell_angle_alpha 71.54
_cell_angle_beta 71.54
_cell_angle_gamma 90.00
loop_
_atom_site_label
_atom_site_fract_x
_atom_site_fract_y
_atom_site_fract_z
Ge1 0.3754 0.1250 0.2500
Ge2 0.8750 0.6254 0.7500
Ge3 0.3750 0.6246 0.7500
Ge4 0.3746 0.6250 0.2500
Ti1 0.5000 0.5000 0.0000
Ti2 0.2500 0.7500 0.5000
Rb1 0.7500 0.2500 0.5000
Rb2 0.0000 0.0000 0.0000
```

Its formation energy is 0.6 eV per formula unit. Its relative energy among the computed polymorphs is 0.000 eV/atom. Its symmetry is I4_1/amd. Its density is 3.33 g/cm³.

***

Material: Cd2Se
Method: DFT, PBE
State: relaxed

CIF file:
```
data_Cd2Se
_symmetry_space_group_name_H-M 'P 1'
_symmetry_Int_Tables_number 1
_symmetry_space_group_name_Hall 'P 1'
_cell_length_a 3.9589
_cell_length_b 3.9589
_cell_length_c 11.0125
_cell_angle_alpha 90.00
_cell_angle_beta 90.00
_cell_angle_gamma 120.00
loop_
_atom_site_label
_atom_site_fract_x
_atom_site_fract_y
_atom_site_fract_z
Cd1 0.3333 0.6667 0.9062
Cd2 0.6667 0.3333 0.0938
Cd3 0.3333 0.6667 0.5938
Cd4 0.6667 0.3333 0.4062
Se1 0.0000 0.0000 0.2500
Se2 0.0000 0.0000 0.7500
```

Its relative energy among the computed polymorphs is 0.020 eV/atom. Its symmetry is P6_3/mmc. Its density is 6.75 g/cm³. As for the uncorrected formation energy: -23.4 kJ/mol of atoms.

***

Material: Ni2PbBr
Method: DFT, PBE
State: relaxed

CIF file:
```
data_Ni2PbBr
_symmetry_space_group_name_H-M 'P 1'
_symmetry_Int_Tables_number 1
_symmetry_space_group_name_Hall 'P 1'
_cell_length_a 6.5774
_cell_length_b 4.6574
_cell_length_c 3.4429
_cell_angle_alpha 81.40
_cell_angle_beta 71.85
_cell_angle_gamma 126.23
loop_
_atom_site_label
_atom_site_fract_x
_atom_site_fract_y
_atom_site_fract_z
Ni1 0.5000 0.0000 0.5000
Ni2 0.0000 0.0000 0.0000
Br1 0.5000 0.5000 0.0000
Pb1 0.0000 0.5000 0.5000
```

Its relative energy among the computed polymorphs is 0.423 eV/atom. Its symmetry is C2/m. Its density is 9.23 g/cm³. As for the uncorrected formation energy: 48.2 kJ/mol of atoms.

***

Material: Hf2Nb3Sb2
Method: DFT, PBE
State: relaxed

CIF file:
```
data_Hf2Nb3Sb2
_symmetry_space_group_name_H-M 'P 1'
_symmetry_Int_Tables_number 1
_symmetry_space_group_name_Hall 'P 1'
_cell_length_a 3.7091
_cell_length_b 5.7426
_cell_length_c 7.4715
_cell_angle_alpha 105.28
_cell_angle_beta 90.00
_cell_angle_gamma 108.84
loop_
_atom_site_label
_atom_site_fract_x
_atom_site_fract_y
_atom_site_fract_z
Hf1 0.9191 0.8381 0.2637
Hf2 0.0809 0.1619 0.7363
Nb1 0.5000 0.0000 0.0000
Nb2 0.3627 0.7254 0.5569
Nb3 0.6373 0.2746 0.4431
Sb1 0.1890 0.3779 0.1833
Sb2 0.8110 0.6221 0.8167
```

Its symmetry is C2/m. Its density is 10.09 g/cm³. As for the uncorrected formation energy: -25.3 kJ/mol of atoms.

***

Material: ZnAu3
Method: DFT, PBE
State: relaxed

CIF file:
```
data_ZnAu3
_symmetry_space_group_name_H-M 'P 1'
_symmetry_Int_Tables_number 1
_symmetry_space_group_name_Hall 'P 1'
_cell_length_a 2.9752
_cell_length_b 3.5871
_cell_length_c 6.4546
_cell_angle_alpha 90.00
_cell_angle_beta 90.00
_cell_angle_gamma 90.00
loop_
_atom_site_label
_atom_site_fract_x
_atom_site_fract_y
_atom_site_fract_z
Au1 0.5000 0.5000 0.7500
Au2 0.0000 0.0000 0.0217
Au3 0.0000 0.0000 0.4783
Zn1 0.5000 0.5000 0.2500
```

Its formation energy is -0.5 eV per formula unit. Its symmetry is Pmmm. Its density is 15.82 g/cm³.